[1]
Computed, not measured: an optimized crystal structure of Gd2Lu3Ga3 at the GGA-PBE level of DFT.

Summary:
E above lowest polymorph (eV/atom): 0.141

a b c (Å): 5.412 7.115 10.396
angles (deg): 90.00 90.00 90.00
Space group Amm2 (No. 38)
Inequivalent atoms, fractional coordinates:
Gd 0.000 0.000 0.000 (multiplicity 2)
Gd 0.500 0.000 0.408 (multiplicity 2)
Lu 0.000 0.248 0.247 (multiplicity 4)
Lu 0.500 0.000 0.811 (multiplicity 2)
Ga 0.000 0.000 0.522 (multiplicity 2)
Ga 0.500 0.180 0.114 (multiplicity 4)


[2]
Computed, not measured: an optimized crystal structure of YAgF3 at the GGA-PBE level of DFT.

Summary:
E above lowest polymorph (eV/atom): 0.172

a b c (Å): 5.679 10.184 5.644
angles (deg): 90.00 90.00 90.00
Space group Pnma (No. 62)
Inequivalent atoms, fractional coordinates:
Y 0.103 0.250 0.036 (multiplicity 4)
Ag 0.000 0.000 0.500 (multiplicity 4)
F 0.095 0.750 0.295 (multiplicity 4)
F 0.186 0.633 0.808 (multiplicity 8)


[3]
Computed, not measured: an optimized crystal structure of CsAgSnTe2S at the GGA-PBE level of DFT.

Summary:
DFT total energy (eV/cell): -81.165

a b c (Å): 4.191 16.420 11.555
angles (deg): 90.00 90.00 90.00
Space group Cmcm (No. 63)
Inequivalent atoms, fractional coordinates:
Cs 0.000 0.227 0.250 (multiplicity 4)
Ag 0.000 0.045 0.750 (multiplicity 4)
Sn 0.000 0.500 0.000 (multiplicity 4)
Te 0.000 0.127 0.538 (multiplicity 8)
S 0.000 0.457 0.750 (multiplicity 4)


[4]
Computed, not measured: an optimized crystal structure of TaAlCuPt at the GGA-PBE level of DFT.

Summary:
E above lowest polymorph (eV/atom): 0.135

a b c (Å): 6.253 6.253 6.253
angles (deg): 90.00 90.00 90.00
Space group F-43m (No. 216)
Inequivalent atoms, fractional coordinates:
Ta 0.000 0.000 0.000 (multiplicity 4)
Al 0.250 0.250 0.250 (multiplicity 4)
Cu 0.000 0.000 0.500 (multiplicity 4)
Pt 0.250 0.250 0.750 (multiplicity 4)


[5]
Computed, not measured: an optimized crystal structure of TcMo at the GGA-PBE level of DFT.

Summary:
ΔE_f (eV/atom): 1.76
E above lowest polymorph (eV/atom): 1.666

a b c (Å): 5.633 5.633 5.633
angles (deg): 90.00 90.00 90.00
Space group F-43m (No. 216)
Inequivalent atoms, fractional coordinates:
Tc 0.000 0.000 0.000 (multiplicity 4)
Mo 0.250 0.250 0.250 (multiplicity 4)


[6]
Computed, not measured: an optimized crystal structure of ZrPd at the GGA-PBE level of DFT.

Summary:
ΔE_f (eV/atom): -0.29

a b c (Å): 5.8602 5.8602 4.9792
angles (deg): 90.00 90.00 120.00
Space group P-6m2 (No. 187)
Inequivalent atoms, fractional coordinates:
Zr 0.0000 0.0000 0.0000 (multiplicity 1)
Zr 0.1698 0.3395 0.5000 (multiplicity 3)
Pd 0.5047 0.0093 0.0000 (multiplicity 3)
Pd 0.6667 0.3333 0.5000 (multiplicity 1)


[7]
Computed, not measured: an optimized crystal structure of Ta4ZnPC2 at the GGA-PBE level of DFT.

Summary:
DFT total energy (eV/cell): -77.088

a b c (Å): 3.2224 3.2224 12.5251
angles (deg): 90.00 90.00 120.00
Space group P-6m2 (No. 187)
Inequivalent atoms, fractional coordinates:
Ta 0.0000 0.0000 0.1386 (multiplicity 2)
Ta 0.3333 0.6667 0.3271 (multiplicity 2)
Zn 0.0000 0.0000 0.5000 (multiplicity 1)
P 0.3333 0.6667 0.0000 (multiplicity 1)
C 0.6667 0.3333 0.2377 (multiplicity 2)


[8]
Computed, not measured: an optimized crystal structure of PaS at the GGA-PBE level of DFT.

Summary:
E above lowest polymorph (eV/atom): 0.005

a b c (Å): 5.505 5.505 5.505
angles (deg): 90.00 90.00 90.00
Space group Fm-3m (No. 225)
Inequivalent atoms, fractional coordinates:
Pa 0.000 0.000 0.000 (multiplicity 4)
S 0.000 0.000 0.500 (multiplicity 4)


[9]
Computed, not measured: an optimized crystal structure of TmCdHg at the GGA-PBE level of DFT.

Summary:
ΔE_f (eV/atom): 0.03

a b c (Å): 6.986 6.986 6.986
angles (deg): 90.00 90.00 90.00
Space group F-43m (No. 216)
Inequivalent atoms, fractional coordinates:
Tm 0.000 0.000 0.000 (multiplicity 4)
Cd 0.250 0.250 0.750 (multiplicity 4)
Hg 0.250 0.250 0.250 (multiplicity 4)


[10]
Computed, not measured: an optimized crystal structure of Tm3Mg3CdAg2 at the GGA-PBE level of DFT.

Summary:
DFT total energy (eV/cell): -26.801

a b c (Å): 7.6428 7.6428 4.1797
angles (deg): 90.00 90.00 120.00
Space group P-62m (No. 189)
Inequivalent atoms, fractional coordinates:
Tm 0.0000 0.5815 0.0000 (multiplicity 3)
Mg 0.0000 0.2532 0.5000 (multiplicity 3)
Cd 0.0000 0.0000 0.0000 (multiplicity 1)
Ag 0.3333 0.6667 0.5000 (multiplicity 2)


[11]
Computed, not measured: an optimized crystal structure of DyErI2N at the GGA-PBE level of DFT.

Summary:
DFT total energy (eV/cell): -27.461

a b c (Å): 3.7562 3.7562 10.7496
angles (deg): 90.00 90.00 120.00
Space group P3m1 (No. 156)
Inequivalent atoms, fractional coordinates:
Dy 0.0000 0.0000 0.0000 (multiplicity 1)
Er 0.6667 0.3333 0.7671 (multiplicity 1)
I 0.0000 0.0000 0.5680 (multiplicity 1)
I 0.6667 0.3333 0.2014 (multiplicity 1)
N 0.3333 0.6667 0.8800 (multiplicity 1)


[12]
Computed, not measured: an optimized crystal structure of SmBi at the GGA-PBE level of DFT.

Summary:
E above lowest polymorph (eV/atom): 0.125

a b c (Å): 4.300 12.126 4.833
angles (deg): 90.00 90.00 90.00
Space group Cmcm (No. 63)
Inequivalent atoms, fractional coordinates:
Sm 0.000 0.123 0.250 (multiplicity 4)
Bi 0.000 0.385 0.250 (multiplicity 4)